Compound: Li2TiV3O8
Source: the Alexandria database
Functional: PBE with a Hubbard U
Structure: relaxed

```
Li2TiV3O8
1.0
-3.348 2.891 -4.766
-5.509 3.149 -1.418
1.328 6.455 0.361
O V Li Ti
8 3 2 1
Cartesian
-6.411 6.891 -4.670
-4.167 7.475 -3.266
-4.418 10.318 -3.647
-3.371 4.976 -2.560
-6.846 9.650 -5.163
-0.676 2.809 -0.653
-1.105 5.639 -1.148
-3.116 2.172 -2.179
-4.998 5.669 -3.664
-5.274 8.916 -4.092
-2.518 6.839 -2.153
0.315 4.554 -0.147
-7.870 7.956 -5.694
-2.250 3.600 -1.730
```

Total moment in μB per formula unit: 5.00
E in eV/cell: -105.244
Polymorph energy (0 for the lowest one) in eV per formula unit: 0.80
Theoretical density in g/cm³: 3.66